No. 1
# Rb3Th3US8

A relaxed structure of Rb3Th3US8 (PBE, the Alexandria database).

Cell: 8.2256 8.2245 9.2322 Å, 116.46 90.00 120.00°
Sites, in units of the cell vectors:
S (0.7713, 0.5427, 0.3080)
S (0.2652, 0.0366, 0.3080)
S (0.2286, 0.9634, 0.6920)
S (0.2659, 0.5318, 0.2978)
S (0.7714, 0.0366, 0.3080)
S (0.7348, 0.9634, 0.6920)
S (0.7341, 0.4682, 0.7022)
S (0.2287, 0.4573, 0.6920)
Th (0.5000, 0.0000, 0.5000)
Th (0.0000, 0.5000, 0.5000)
Th (0.5000, 0.5000, 0.5000)
U (0.0000, 0.0000, 0.5000)
Rb (0.0000, 0.0000, 0.0000)
Rb (0.5000, 0.5000, 0.0000)
Rb (0.0000, 0.5000, 0.0000)

Values from the calculation:
Size of the total moment: 3.9 μB per formula unit
VASP energy: -6.2675 eV per atom
Energy relative to the elements, uncorrected: -158 kJ per mole of atoms
SG: No. 166
Calculated volume: 30.92 Å³/atom



No. 2
# ZrSiAg

A relaxed structure of ZrSiAg (PBE, the Alexandria database).

Cell: 4.3806 4.3806 3.2085 Å, 90.00 90.00 120.00°
Sites, in units of the cell vectors:
Si (0.3333, 0.6667, 0.1669)
Ag (0.0000, 0.0000, 0.1666)
Zr (0.6667, 0.3333, 0.6665)

Values from the calculation:
Size of the total moment: 0.0 μB per formula unit
VASP energy: -5.9277 eV per atom
Energy relative to the elements, uncorrected: -31 kJ per mole of atoms
SG: No. 187
Calculated volume: 17.77 Å³/atom



No. 3
# TbAlO3

A relaxed structure of TbAlO3 (PBE, the Alexandria database).

Cell: 5.2630 5.2628 5.7317 Å, 62.68 62.67 59.99°
Sites, in units of the cell vectors:
O (0.1942, 0.5602, 0.2754)
O (0.0299, 0.8058, 0.7246)
O (0.9701, 0.1942, 0.2754)
O (0.5602, 0.9702, 0.2754)
O (0.4398, 0.0298, 0.7246)
O (0.8058, 0.4398, 0.7246)
Al (0.8439, 0.8439, 0.4682)
Al (0.1561, 0.1561, 0.5318)
Tb (0.3693, 0.3693, 0.8921)
Tb (0.6307, 0.6307, 0.1079)

Values from the calculation:
Size of the total moment: 0.0 μB per formula unit
VASP energy: -7.7993 eV per atom
Energy relative to the elements, uncorrected: -304 kJ per mole of atoms
SG: No. 148
Calculated volume: 11.66 Å³/atom



No. 4
# PmDy3Y4

A relaxed structure of PmDy3Y4 (PBE, the Alexandria database).

Cell: 5.6564 3.5588 13.4934 Å, 89.96 102.10 90.00°
Sites, in units of the cell vectors:
Y (0.6044, 0.4992, 0.2088)
Y (0.3956, 0.5008, 0.7912)
Y (0.7235, 0.5008, 0.4469)
Y (0.2765, 0.4992, 0.5531)
Dy (0.0000, 0.5000, 0.0000)
Dy (0.8439, 0.9999, 0.6878)
Dy (0.1561, 0.0001, 0.3123)
Pm (0.5000, 0.0000, 0.0000)

Values from the calculation:
ΔE_f: 0.220 eV/atom
Energy above the most stable polymorph in this dataset: 213 meV/atom
Size of the total moment: 0.0 μB per formula unit
VASP energy: -5.3320 eV per atom
SG: No. 12
Calculated volume: 33.20 Å³/atom



Copy entry 2 word for word.
# ZrSiAg

A relaxed structure of ZrSiAg (PBE, the Alexandria database).

Cell: 4.3806 4.3806 3.2085 Å, 90.00 90.00 120.00°
Sites, in units of the cell vectors:
Si (0.3333, 0.6667, 0.1669)
Ag (0.0000, 0.0000, 0.1666)
Zr (0.6667, 0.3333, 0.6665)

Values from the calculation:
Size of the total moment: 0.0 μB per formula unit
VASP energy: -5.9277 eV per atom
Energy relative to the elements, uncorrected: -31 kJ per mole of atoms
SG: No. 187
Calculated volume: 17.77 Å³/atom



Question: The highest VASP energy belongs to which entry?
Answer: PmDy3Y4



Question: What is the VASP energy in the third record?
Answer: -7.7993 eV per atom